No. 1
## HgSbTeO (PBE)

Data for a geometry-optimized HgSbTeO structure.

- excess energy over the best structure of this formula in the dataset (eV/atom) = 0.000

Unit cell a=6.254 b=8.312 c=8.076 alpha=90.00 beta=107.35 gamma=90.00
Sites, in units of the cell vectors:
1 Hg 0.049 0.243 0.011
2 Hg 0.049 0.257 0.511
3 Hg 0.951 0.743 0.489
4 Hg 0.951 0.757 0.989
5 Sb 0.419 0.539 0.801
6 Sb 0.419 0.961 0.301
7 Sb 0.581 0.039 0.699
8 Sb 0.581 0.461 0.199
9 Te 0.134 0.519 0.273
10 Te 0.134 0.981 0.773
11 Te 0.866 0.019 0.227
12 Te 0.866 0.481 0.727
13 O 0.484 0.154 0.465
14 O 0.484 0.346 0.965
15 O 0.516 0.654 0.035
16 O 0.516 0.846 0.535

=====

No. 2
## CoBIrAu (PBE)

Data for a geometry-optimized CoBIrAu structure.

- excess energy over the best structure of this formula in the dataset (eV/atom) = 0.000

Unit cell a=4.183 b=4.183 c=4.183 alpha=60.00 beta=60.00 gamma=60.00
Sites, in units of the cell vectors:
1 Co 0.000 0.000 0.000
2 B 0.750 0.750 0.750
3 Ir 0.500 0.500 0.500
4 Au 0.250 0.250 0.250

=====

No. 3
## PrSmSi2Ni2 (PBE)

Data for a geometry-optimized PrSmSi2Ni2 structure.

Unit cell a=4.122 b=4.122 c=6.758 alpha=90.00 beta=90.00 gamma=90.00
Sites, in units of the cell vectors:
1 Pr 0.000 0.000 0.000
2 Sm 0.500 0.500 0.367
3 Si 0.000 0.000 0.496
4 Si 0.500 0.500 0.854
5 Ni 0.000 0.500 0.676
6 Ni 0.500 0.000 0.676

=====

Listing energy for the structures above in their given order: -56.35 -22.74 -35.81 eV per cell.